The following is a DFT calculation (PBE) of AcLa3Sm after structural relaxation.

Lattice parameters (Å, degrees): 3.744 11.808 11.779 48.17 90.09 89.91
Positions (direct):
La1 0.758 0.029 0.469
La2 0.756 0.263 0.072
La3 0.758 0.632 0.704
La4 0.757 0.586 0.391
La5 0.758 0.189 0.626
La6 0.759 0.954 0.024
Sm1 0.258 0.888 0.328
Sm2 0.257 0.330 0.767
Ac1 0.262 0.806 0.852
Ac2 0.254 0.412 0.244

energy of formation = 87 meV/atom
volume = 388.0 Å³ per cell
D(E_F) = 8.4 states/eV/f.u.

---

The following is a DFT calculation (PBE) of Ac3La2Sm3 after structural relaxation.

Lattice parameters (Å, degrees): 6.883 10.269 10.269 60.00 90.00 90.00
Positions (direct):
La1 0.500 0.667 0.667
La2 0.000 0.333 0.333
La3 0.000 0.667 0.667
La4 0.500 0.333 0.333
Ac1 0.750 0.000 0.231
Ac2 0.750 0.769 0.000
Ac3 0.250 0.000 0.769
Ac4 0.250 0.769 0.231
Ac5 0.750 0.231 0.769
Ac6 0.250 0.231 0.000
Sm1 0.750 0.587 0.413
Sm2 0.750 0.413 0.000
Sm3 0.250 0.413 0.587
Sm4 0.250 0.000 0.413
Sm5 0.750 0.000 0.587
Sm6 0.250 0.587 0.000

energy of formation = 158 meV/atom
volume = 628.6 Å³ per cell
D(E_F) = 15.0 states/eV/f.u.